[1]
{
  "formula": "NaSn2Sb",
  "functional": "PBE",
  "state": "relaxed",
  "e_form_raw_ev_per_atom": -0.006,
  "energy_ev_per_atom": -3.37,
  "magmom_total_mub_per_cell": 0.000,
  "mass_density_g_cm3": 5.25,
  "cell": [[-1.2909, 1.5654, 3.3956], [0.1756, -2.1080, 3.3425], [7.7863, 3.0528, 3.8567]],
  "species": ["Na", "Sn", "Sn", "Sb"],
  "fractional_positions": [[0.5001, 0.5001, 0.4998], [0.0747, 0.0747, 0.7759], [0.2587, 0.2587, 0.2238], [0.6665, 0.6665, 0.0006]]
}

***

[2]
{
  "formula": "Na3SnSb4",
  "functional": "PBE",
  "state": "relaxed",
  "e_form_raw_ev_per_atom": -0.214,
  "energy_ev_per_atom": -3.27,
  "magmom_total_mub_per_cell": 0.000,
  "mass_density_g_cm3": 4.95,
  "cell": [[-0.6634, 0.2699, -3.2270], [1.9082, -6.5269, -0.9381], [-9.9947, 0.1474, 3.7600]],
  "species": ["Na", "Na", "Na", "Sn", "Sb", "Sb", "Sb", "Sb"],
  "fractional_positions": [[0.2288, 0.2288, 0.4576], [0.7712, 0.7712, 0.5424], [0.0000, 0.5000, 0.0000], [0.5000, 0.0000, 0.0000], [0.3756, 0.5919, 0.7513], [0.6244, 0.4081, 0.2487], [0.6244, 0.8406, 0.2487], [0.3756, 0.1594, 0.7513]]
}

***

[3]
{
  "formula": "NaSn2Sb2",
  "functional": "PBE",
  "state": "relaxed",
  "e_form_raw_ev_per_atom": 0.012,
  "energy_ev_per_atom": -3.50,
  "magmom_total_mub_per_cell": 0.000,
  "mass_density_g_cm3": 5.30,
  "cell": [[-4.8512, -1.0549, 4.1190], [-0.8288, -8.1148, 2.4636], [6.7229, 5.6603, 1.5573]],
  "species": ["Na", "Na", "Sn", "Sn", "Sn", "Sn", "Sb", "Sb", "Sb", "Sb"],
  "fractional_positions": [[0.2425, 0.7425, 0.9850], [0.7575, 0.2575, 0.0150], [0.5173, 0.1823, 0.5000], [0.1271, 0.1271, 0.7541], [0.4827, 0.8177, 0.5000], [0.8729, 0.8729, 0.2459], [0.6247, 0.6247, 0.7494], [0.0030, 0.6858, 0.5000], [0.9970, 0.3142, 0.5000], [0.3753, 0.3753, 0.2506]]
}

***

[4]
{
  "formula": "NaSn3Sb3",
  "functional": "PBE",
  "state": "relaxed",
  "e_form_raw_ev_per_atom": 0.140,
  "energy_ev_per_atom": -3.53,
  "magmom_total_mub_per_cell": 0.000,
  "mass_density_g_cm3": 4.19,
  "cell": [[8.3888, 0.0000, 0.0000], [0.0000, 8.3888, 0.0000], [0.0000, 0.0000, 8.3888]],
  "species": ["Sb", "Sb", "Sb", "Sb", "Sb", "Sb", "Sn", "Sn", "Sn", "Sn", "Sn", "Sn", "Na", "Na"],
  "fractional_positions": [[0.0000, 0.2500, 0.5000], [0.0000, 0.7500, 0.5000], [0.5000, 0.0000, 0.7500], [0.7500, 0.5000, 0.0000], [0.5000, 0.0000, 0.2500], [0.2500, 0.5000, 0.0000], [0.2500, 0.0000, 0.5000], [0.0000, 0.5000, 0.2500], [0.5000, 0.7500, 0.0000], [0.7500, 0.0000, 0.5000], [0.0000, 0.5000, 0.7500], [0.5000, 0.2500, 0.0000], [0.5000, 0.5000, 0.5000], [0.0000, 0.0000, 0.0000]]
}

***

[5]
{
  "formula": "NaSn2Sb2",
  "functional": "PBE",
  "state": "relaxed",
  "e_form_raw_ev_per_atom": -0.052,
  "energy_ev_per_atom": -3.57,
  "magmom_total_mub_per_cell": 0.000,
  "mass_density_g_cm3": 5.28,
  "cell": [[5.7307, 0.0000, 0.0000], [0.0000, 5.7307, 0.0000], [2.8653, 2.8653, 4.8215]],
  "species": ["Sb", "Sb", "Sn", "Sn", "Na"],
  "fractional_positions": [[0.7500, 0.2500, 0.5000], [0.2500, 0.7500, 0.5000], [0.3479, 0.3479, 0.3041], [0.6521, 0.6521, 0.6959], [0.0000, 0.0000, 0.0000]]
}

***

[6]
{
  "formula": "NaSn2Sb",
  "functional": "PBE",
  "state": "relaxed",
  "e_form_raw_ev_per_atom": -0.111,
  "energy_ev_per_atom": -3.47,
  "magmom_total_mub_per_cell": 0.000,
  "mass_density_g_cm3": 5.72,
  "cell": [[-1.6821, 2.4129, -1.1062], [-4.4049, -2.4029, 1.4569], [0.3532, 3.0120, 6.0331]],
  "species": ["Na", "Sn", "Sn", "Sb"],
  "fractional_positions": [[0.5000, 0.6229, 0.5964], [0.0000, 0.1227, 0.8398], [0.0000, 0.6226, 0.0928], [0.0000, 0.1230, 0.3831]]
}

***

[7]
{
  "formula": "NaSn2Sb",
  "functional": "PBE",
  "state": "relaxed",
  "e_form_raw_ev_per_atom": -0.077,
  "energy_ev_per_atom": -3.44,
  "magmom_total_mub_per_cell": 0.000,
  "mass_density_g_cm3": 5.25,
  "cell": [[8.6799, 0.0000, 0.0000], [0.0000, 8.6799, 0.0000], [4.3400, 4.3400, 3.2106]],
  "species": ["Sb", "Sb", "Sn", "Sn", "Sn", "Sn", "Na", "Na"],
  "fractional_positions": [[0.0000, 0.0000, 0.0000], [0.7500, 0.2500, 0.5000], [0.6558, 0.1250, 0.2500], [0.0942, 0.6250, 0.2500], [0.3750, 0.3442, 0.7500], [0.8750, 0.9058, 0.7500], [0.5000, 0.5000, 0.0000], [0.2500, 0.7500, 0.5000]]
}

***

[8]
{
  "formula": "Na8SnSb4",
  "functional": "PBE",
  "state": "relaxed",
  "e_form_raw_ev_per_atom": -0.391,
  "energy_ev_per_atom": -2.78,
  "magmom_total_mub_per_cell": 0.000,
  "mass_density_g_cm3": 3.16,
  "cell": [[-0.6152, 3.0524, -10.0826], [8.1824, -1.5319, -6.4851], [-0.6262, -7.2205, -7.6699]],
  "species": ["Na", "Na", "Na", "Na", "Na", "Na", "Na", "Na", "Na", "Na", "Na", "Na", "Na", "Na", "Na", "Na", "Sn", "Sn", "Sb", "Sb", "Sb", "Sb", "Sb", "Sb", "Sb", "Sb"],
  "fractional_positions": [[0.6250, 0.1250, 0.6250], [0.6250, 0.6250, 0.1250], [0.1250, 0.6250, 0.6250], [0.6250, 0.6250, 0.6250], [0.0201, 0.0201, 0.4799], [0.7701, 0.2299, 0.2299], [0.2299, 0.7701, 0.7701], [0.7701, 0.7701, 0.2299], [0.7701, 0.2299, 0.7701], [0.2299, 0.7701, 0.2299], [0.4799, 0.0201, 0.4799], [0.4799, 0.0201, 0.0201], [0.0201, 0.4799, 0.4799], [0.0201, 0.4799, 0.0201], [0.2299, 0.2299, 0.7701], [0.4799, 0.4799, 0.0201], [0.5000, 0.5000, 0.5000], [0.7500, 0.7500, 0.7500], [0.4152, 0.8616, 0.8616], [0.8616, 0.8616, 0.8616], [0.8348, 0.3884, 0.3884], [0.3884, 0.3884, 0.3884], [0.3884, 0.3884, 0.8348], [0.8616, 0.4152, 0.8616], [0.8616, 0.8616, 0.4152], [0.3884, 0.8348, 0.3884]]
}

***

[9]
{
  "formula": "NaSnSb3",
  "functional": "PBE",
  "state": "relaxed",
  "e_form_raw_ev_per_atom": 0.481,
  "de_polymorph_mev_per_atom": 0,
  "energy_ev_per_atom": -3.06,
  "magmom_total_mub_per_cell": 0.000,
  "mass_density_g_cm3": 4.45,
  "cell": [[-5.7374, 0.1354, 0.1905], [-0.2306, -2.5249, -5.1521], [-0.0377, -5.1555, 2.5283]],
  "species": ["Sb", "Sb", "Sb", "Sn", "Na"],
  "fractional_positions": [[0.0000, 0.5000, 0.0000], [0.0000, 0.0000, 0.5000], [0.5000, 0.0000, 0.0000], [0.0000, 0.0000, 0.0000], [0.5000, 0.5000, 0.5000]]
}

***

[10]
{
  "formula": "Na2SrSnSb2",
  "functional": "PBE",
  "state": "relaxed",
  "e_form_raw_ev_per_atom": -0.493,
  "energy_ev_per_atom": -3.25,
  "magmom_total_mub_per_cell": 0.000,
  "mass_density_g_cm3": 4.23,
  "cell": [[-3.4716, -0.9693, -3.8239], [-3.3855, -5.8187, 4.5486], [-5.6944, 6.1381, 3.6138]],
  "species": ["Na", "Na", "Na", "Na", "Sr", "Sr", "Sn", "Sn", "Sb", "Sb", "Sb", "Sb"],
  "fractional_positions": [[0.5000, 0.0225, 0.0797], [0.0000, 0.3501, 0.1549], [0.5000, 0.5225, 0.9203], [0.0000, 0.8501, 0.8451], [0.0000, 0.0018, 0.4610], [0.0000, 0.5018, 0.5390], [0.5000, 0.1525, 0.6973], [0.5000, 0.6525, 0.3027], [0.0000, 0.2446, 0.8278], [0.5000, 0.2741, 0.3635], [0.0000, 0.7446, 0.1722], [0.5000, 0.7741, 0.6365]]
}

***

[11]
{
  "formula": "NaSrSn2Sb",
  "functional": "PBE",
  "state": "relaxed",
  "e_form_raw_ev_per_atom": 0.787,
  "energy_ev_per_atom": -2.24,
  "magmom_total_mub_per_cell": 0.000,
  "mass_density_g_cm3": 3.79,
  "cell": [[5.9786, 0.0000, 0.0000], [0.0000, 5.7644, 0.0000], [0.0000, 0.0000, 5.9786]],
  "species": ["Sb", "Na", "Sn", "Sn", "Sr"],
  "fractional_positions": [[0.5000, 0.5000, 0.5000], [0.0000, 0.5000, 0.0000], [0.0000, 0.0000, 0.5000], [0.5000, 0.0000, 0.0000], [0.0000, 0.0000, 0.0000]]
}

***

[12]
{
  "formula": "Na2SnSbTe4",
  "functional": "PBE",
  "state": "relaxed",
  "e_form_raw_ev_per_atom": -0.470,
  "energy_ev_per_atom": -3.39,
  "magmom_total_mub_per_cell": 0.000,
  "mass_density_g_cm3": 5.17,
  "cell": [[-1.5425, -1.8948, -3.6242], [6.4528, -3.9136, -0.7003], [-5.1511, -4.3952, 4.4903]],
  "species": ["Na", "Na", "Sn", "Sb", "Te", "Te", "Te", "Te"],
  "fractional_positions": [[0.5000, 0.0000, 0.5000], [0.0000, 0.5000, 0.5000], [0.0000, 0.0000, 0.0000], [0.5000, 0.5000, 0.0000], [0.5000, 0.2459, 0.2323], [0.5000, 0.7541, 0.7677], [0.0000, 0.2586, 0.7686], [0.0000, 0.7414, 0.2314]]
}

***

[13]
{
  "formula": "NaSn2SbTe4",
  "functional": "PBE",
  "state": "relaxed",
  "e_form_raw_ev_per_atom": -0.346,
  "energy_ev_per_atom": -3.60,
  "magmom_total_mub_per_cell": 0.000,
  "mass_density_g_cm3": 5.80,
  "cell": [[4.4918, 0.0000, 0.0000], [0.0000, 7.7879, 0.2063], [0.0000, -2.6886, 7.2367]],
  "species": ["Na", "Sn", "Sn", "Sb", "Te", "Te", "Te", "Te"],
  "fractional_positions": [[0.5000, 0.5000, 0.0000], [0.5000, 0.0000, 0.5000], [0.0000, 0.5000, 0.5000], [0.0000, 0.0000, 0.0000], [0.5000, 0.2456, 0.2437], [0.5000, 0.7544, 0.7563], [0.0000, 0.2441, 0.7499], [0.0000, 0.7559, 0.2501]]
}

***

[14]
{
  "formula": "NaSnSbTe3",
  "functional": "PBE",
  "state": "relaxed",
  "e_form_raw_ev_per_atom": -0.346,
  "energy_ev_per_atom": -3.49,
  "magmom_total_mub_per_cell": 0.000,
  "mass_density_g_cm3": 5.21,
  "cell": [[-0.4213, -3.2567, 2.9181], [9.0948, -1.4545, -0.3101], [-0.3098, 6.9005, 7.6563]],
  "species": ["Na", "Na", "Sn", "Sn", "Sb", "Sb", "Te", "Te", "Te", "Te", "Te", "Te"],
  "fractional_positions": [[0.2500, 0.1404, 0.1585], [0.7500, 0.8596, 0.8415], [0.2500, 0.1317, 0.5374], [0.7500, 0.8683, 0.4626], [0.2500, 0.6322, 0.1573], [0.7500, 0.3678, 0.8427], [0.7500, 0.8811, 0.1756], [0.2500, 0.1189, 0.8244], [0.2500, 0.6520, 0.4576], [0.7500, 0.3480, 0.5424], [0.7500, 0.4000, 0.1448], [0.2500, 0.6000, 0.8552]]
}

***

[15]
{
  "formula": "NaTiSn2Sb",
  "functional": "PBE",
  "state": "relaxed",
  "e_form_raw_ev_per_atom": 0.993,
  "energy_ev_per_atom": -3.28,
  "magmom_total_mub_per_cell": 0.020,
  "mass_density_g_cm3": 4.91,
  "cell": [[5.2439, 0.0000, 0.0000], [0.0000, 5.2853, 0.0000], [0.0000, 0.0000, 5.2439]],
  "species": ["Sb", "Na", "Sn", "Sn", "Ti"],
  "fractional_positions": [[0.0000, 0.5000, 0.0000], [0.0000, 0.0000, 0.0000], [0.0000, 0.0000, 0.5000], [0.5000, 0.0000, 0.0000], [0.5000, 0.5000, 0.5000]]
}

***

[16]
{
  "formula": "NaTlSnSb",
  "functional": "PBE",
  "state": "relaxed",
  "e_form_raw_ev_per_atom": -0.064,
  "energy_ev_per_atom": -3.02,
  "magmom_total_mub_per_cell": 0.000,
  "mass_density_g_cm3": 5.52,
  "cell": [[-1.8757, 3.7524, -0.4304], [-0.6756, -2.3127, 3.4610], [8.5906, 2.2845, 3.2155]],
  "species": ["Na", "Tl", "Sn", "Sb"],
  "fractional_positions": [[0.6685, 0.6607, 0.3292], [0.5083, 0.0808, 0.5891], [0.7321, 0.1921, 0.9242], [0.1768, 0.9142, 0.0910]]
}

***

[17]
{
  "formula": "NaTlSnSb",
  "functional": "PBE",
  "state": "relaxed",
  "e_form_raw_ev_per_atom": -0.065,
  "energy_ev_per_atom": -3.02,
  "magmom_total_mub_per_cell": 0.000,
  "mass_density_g_cm3": 6.87,
  "cell": [[5.4283, 0.0000, 0.0000], [2.7141, 4.7010, 0.0000], [2.7141, 1.5670, 4.4322]],
  "species": ["Sb", "Tl", "Sn", "Na"],
  "fractional_positions": [[0.0000, 0.0000, 0.0000], [0.5000, 0.5000, 0.5000], [0.7500, 0.7500, 0.7500], [0.2500, 0.2500, 0.2500]]
}

***

[18]
{
  "formula": "NaTl2SnSb2",
  "functional": "PBE",
  "state": "relaxed",
  "e_form_raw_ev_per_atom": -0.120,
  "energy_ev_per_atom": -3.17,
  "magmom_total_mub_per_cell": 0.000,
  "mass_density_g_cm3": 7.17,
  "cell": [[-1.3430, -3.1896, -4.1367], [6.6500, -2.6797, -0.0928], [-2.6517, -6.7918, 6.0977]],
  "species": ["Na", "Na", "Tl", "Tl", "Tl", "Tl", "Sn", "Sn", "Sb", "Sb", "Sb", "Sb"],
  "fractional_positions": [[0.0000, 0.0084, 0.4745], [0.0000, 0.5084, 0.5255], [0.5000, 0.0214, 0.0546], [0.0000, 0.3054, 0.1650], [0.5000, 0.5214, 0.9454], [0.0000, 0.8054, 0.8350], [0.5000, 0.1798, 0.6757], [0.5000, 0.6798, 0.3243], [0.0000, 0.2632, 0.8099], [0.5000, 0.2674, 0.3687], [0.0000, 0.7632, 0.1901], [0.5000, 0.7674, 0.6313]]
}

***

[19]
{
  "formula": "NaSr2Sb",
  "functional": "PBE",
  "state": "relaxed",
  "e_form_raw_ev_per_atom": -0.314,
  "energy_ev_per_atom": -2.52,
  "magmom_total_mub_per_cell": 0.000,
  "mass_density_g_cm3": 3.04,
  "cell": [[-7.3536, 2.6440, 5.1765], [-5.8083, -3.6658, -6.3787], [-6.4852, -4.0018, 1.3179]],
  "species": ["Sb", "Sb", "Na", "Na", "Sr", "Sr", "Sr", "Sr"],
  "fractional_positions": [[0.0000, 0.0000, 0.0000], [0.7500, 0.2500, 0.5000], [0.5000, 0.5000, 0.0000], [0.2500, 0.7500, 0.5000], [0.6681, 0.1250, 0.2500], [0.0819, 0.6250, 0.2500], [0.3750, 0.3319, 0.7500], [0.8750, 0.9181, 0.7500]]
}

***

[20]
{
  "formula": "NaSrSb2",
  "functional": "PBE",
  "state": "relaxed",
  "e_form_raw_ev_per_atom": -0.598,
  "de_polymorph_mev_per_atom": 0,
  "energy_ev_per_atom": -3.41,
  "magmom_total_mub_per_cell": 0.000,
  "mass_density_g_cm3": 4.96,
  "cell": [[-1.6742, -1.8881, -3.9652], [1.0338, -4.5905, 1.7493], [-4.5755, -0.2490, 2.0505]],
  "species": ["Sb", "Sb", "Na", "Sr"],
  "fractional_positions": [[0.0000, 0.0000, 0.5000], [0.0000, 0.5000, 0.0000], [0.5000, 0.0000, 0.0000], [0.5000, 0.5000, 0.5000]]
}

***

[21]
{
  "formula": "NaSr2Sb",
  "functional": "PBE",
  "state": "relaxed",
  "e_form_raw_ev_per_atom": -0.534,
  "energy_ev_per_atom": -2.74,
  "magmom_total_mub_per_cell": 0.000,
  "mass_density_g_cm3": 3.49,
  "cell": [[4.2874, 0.0000, 0.0000], [0.0000, 4.2874, 0.0000], [0.0000, 0.0000, 8.2900]],
  "species": ["Sb", "Na", "Sr", "Sr"],
  "fractional_positions": [[0.5000, 0.5000, 0.5000], [0.5000, 0.5000, 0.0000], [0.0000, 0.0000, 0.7046], [0.0000, 0.0000, 0.2954]]
}

***

[22]
{
  "formula": "NaSr2Sb",
  "functional": "PBE",
  "state": "relaxed",
  "e_form_raw_ev_per_atom": -0.560,
  "energy_ev_per_atom": -2.76,
  "magmom_total_mub_per_cell": 0.000,
  "mass_density_g_cm3": 3.78,
  "cell": [[-3.1977, -2.8239, -1.7728], [3.3953, -1.2293, -4.1662], [2.0749, -4.1866, 2.9263]],
  "species": ["Sb", "Na", "Sr", "Sr"],
  "fractional_positions": [[0.5000, 0.5000, 0.5000], [0.5000, 0.0000, 0.0000], [0.0000, 0.0000, 0.5000], [0.0000, 0.5000, 0.0000]]
}

***

[23]
{
  "formula": "NaSrSb4",
  "functional": "PBE",
  "state": "relaxed",
  "e_form_raw_ev_per_atom": -0.252,
  "energy_ev_per_atom": -3.50,
  "magmom_total_mub_per_cell": 0.000,
  "mass_density_g_cm3": 5.20,
  "cell": [[6.4639, 0.0000, 0.0000], [3.2319, 5.5979, 0.0000], [3.2319, 1.8660, 5.2777]],
  "species": ["Sb", "Sb", "Sb", "Sb", "Na", "Sr"],
  "fractional_positions": [[0.6257, 0.6257, 0.1229], [0.6257, 0.1229, 0.6257], [0.6257, 0.6257, 0.6257], [0.1229, 0.6257, 0.6257], [0.0000, 0.0000, 0.0000], [0.2500, 0.2500, 0.2500]]
}

***

[24]
{
  "formula": "NaSr5Sb4",
  "functional": "PBE",
  "state": "relaxed",
  "e_form_raw_ev_per_atom": -0.806,
  "energy_ev_per_atom": -3.43,
  "magmom_total_mub_per_cell": 0.000,
  "mass_density_g_cm3": 4.11,
  "cell": [[4.2411, 0.0000, 1.3544], [1.2999, 9.2619, 3.2469], [-0.7974, 1.0281, 9.8144]],
  "species": ["Na", "Sr", "Sr", "Sr", "Sr", "Sr", "Sb", "Sb", "Sb", "Sb"],
  "fractional_positions": [[0.2500, 0.0000, 0.0000], [0.6013, 0.3538, 0.9437], [0.8987, 0.0563, 0.6462], [0.7500, 0.5000, 0.5000], [0.6013, 0.9437, 0.3538], [0.8987, 0.6462, 0.0563], [0.2500, 0.2717, 0.7283], [0.9992, 0.2508, 0.2508], [0.5008, 0.7492, 0.7492], [0.2500, 0.7283, 0.2717]]
}